(1)
Density functional theory data (PBE-GGA) for crystalline RhSeCl at its relaxed geometry.

Summary:
uncorrected formation energy	-0.092	eV per atom
Fermi-level density of states	2.34	states/eV/cell

a = 7.189 Å, b = 6.695 Å, c = 3.623 Å
α = 82.58°, β = 67.44°, γ = 29.98°
Atoms (fractional coordinates):
Cl 0.960 0.960 0.040
Rh 0.328 0.328 0.672
Se 0.712 0.712 0.288

(2)
Density functional theory data (PBE-GGA) for crystalline Sr2Zn6Ni at its relaxed geometry.

Summary:
formation enthalpy at 0 K	-0.163	eV/atom
Fermi-level density of states	4.22	states/eV/cell

a = 5.722 Å, b = 6.094 Å, c = 6.094 Å
α = 60.01°, β = 90.09°, γ = 90.09°
Atoms (fractional coordinates):
Sr 0.836 0.666 0.666
Sr 0.164 0.334 0.334
Zn 0.324 0.332 0.836
Zn 0.322 0.836 0.836
Zn 0.324 0.836 0.332
Zn 0.676 0.668 0.164
Zn 0.678 0.164 0.164
Zn 0.676 0.164 0.668
Ni 0.000 0.000 0.000

(3)
Density functional theory data (PBE-GGA) for crystalline Sc2Zn15Au2 at its relaxed geometry.

Summary:
formation enthalpy at 0 K	-0.214	eV/atom
Fermi-level density of states	6.06	states/eV/cell

a = 6.759 Å, b = 6.759 Å, c = 6.759 Å
α = 82.87°, β = 82.87°, γ = 82.87°
Atoms (fractional coordinates):
Sc 0.339 0.339 0.339
Sc 0.661 0.661 0.661
Zn 0.500 0.000 0.000
Zn 0.000 0.000 0.500
Zn 0.000 0.500 0.000
Zn 0.000 0.697 0.303
Zn 0.697 0.303 0.000
Zn 0.303 0.000 0.697
Zn 0.303 0.697 0.000
Zn 0.697 0.000 0.303
Zn 0.000 0.303 0.697
Zn 0.166 0.644 0.644
Zn 0.644 0.644 0.166
Zn 0.644 0.166 0.644
Zn 0.834 0.356 0.356
Zn 0.356 0.356 0.834
Zn 0.356 0.834 0.356
Au 0.113 0.113 0.113
Au 0.887 0.887 0.887